A plane-wave DFT calculation with PBE with a Hubbard U was carried out for a relaxed structure of Pa2Ni4O9.

Values from the calculation:
Space-group type: No. 165
DFT total energy, eV per cell: -212.4

Cell lengths 5.322, 5.322, 14.886 Å; angles 90.00, 90.00, 59.99 degrees
Element x y z (fractional)
Ni 0.333 0.333 0.181
O 0.651 0.375 0.919
Ni 0.667 0.667 0.819
O 0.026 0.349 0.081
Ni 0.667 0.667 0.511
O 0.000 0.301 0.750
Ni 0.334 0.333 0.681
O 0.375 0.651 0.419
O 0.625 0.026 0.081
Pa 0.000 0.000 0.861
O 0.651 0.974 0.419
O 0.026 0.625 0.581
O 0.974 0.375 0.419
Ni 0.667 0.667 0.011
Ni 0.333 0.333 0.489
O 0.000 0.699 0.250
Ni 0.666 0.667 0.319
O 0.375 0.974 0.919
O 0.699 0.000 0.750
O 0.625 0.349 0.581
O 0.698 0.302 0.250
Pa 0.000 0.000 0.139
Ni 0.333 0.333 0.989
Pa 0.000 0.000 0.361
Pa 0.000 0.000 0.639
O 0.302 0.698 0.750
O 0.974 0.651 0.919
O 0.301 0.000 0.250
O 0.349 0.625 0.081
O 0.349 0.026 0.581